Li6PuF12: optimized geometry, PBE.

a b c (Å): 6.0827 6.0827 6.0827
angles (deg): 96.48 96.48 96.48
With the nearest neighbours (Å) after each atom.
Sites, in units of the cell vectors:
Li1 0.1720 0.4039 0.6119  4 F 1.93-2.12
Li2 0.5961 0.3881 0.8280  4 F 1.93-2.12
Li3 0.3881 0.8280 0.5961  4 F 1.93-2.12
Li4 0.8280 0.5961 0.3881  4 F 1.93-2.12
Li5 0.4039 0.6119 0.1720  4 F 1.93-2.12
Li6 0.6119 0.1720 0.4039  4 F 1.93-2.12
Pu1 0.0000 0.0000 0.0000  6 F 2.02
F1 0.3836 0.1767 0.5999  4 Li 1.93-2.12
F2 0.1767 0.5999 0.3836  4 Li 1.93-2.12
F3 0.5999 0.3836 0.1767  4 Li 1.93-2.12
F4 0.6164 0.8233 0.4001  4 Li 1.93-2.12
F5 0.8233 0.4001 0.6164  4 Li 1.93-2.12
F6 0.4001 0.6164 0.8233  4 Li 1.93-2.12
F7 0.0449 0.8811 0.6873  1 Pu 2.02
F8 0.3127 0.9551 0.1189  1 Pu 2.02
F9 0.1189 0.3127 0.9551  1 Pu 2.02
F10 0.9551 0.1189 0.3127  1 Pu 2.02
F11 0.6873 0.0449 0.8811  1 Pu 2.02
F12 0.8811 0.6873 0.0449  1 Pu 2.02

Properties
* E_form (uncorrected): -2.81 eV/atom
* magnetization: 1.79 μB/cell